SbMoRu | PBE | relaxed

Geometry as POSCAR:
```
SbMoRu
1.0
3.010 0.000 0.000
-1.505 2.607 0.000
0.000 0.000 6.636
Mo Ru Sb
1 1 1
direct
0.000 0.000 0.020
0.667 0.333 0.318
0.333 0.667 0.662
```

Uncorrected formation energy ... 282 meV per atom
Symmetry ... P3m1, No. 156
Spin magnetization ... 0.00 μB per formula unit
Energy above the lowest structure with this stoichiometry ... 25.37 kJ/mol of atoms
DOS at the Fermi energy ... 0.712 states/eV/atom